[1]
DFT (PBE-GGA) results for crystalline CaSmC at its relaxed geometry.

```
6
Lattice="3.7967 0.0000 0.0000 1.8973 3.4641 0.0000 1.8959 -0.3643 12.9833" Properties=species:S:1:pos:R:3 pbc="T T T"
Ca 0.0000 0.0000 0.0000
Ca 3.7960 0.8979 9.6621
Sm 3.7860 3.0803 6.3925
Sm 3.7861 2.1827 3.2054
C 3.7866 0.9117 5.3356
C 5.6844 3.3307 4.4624
```

***

[2]
DFT (PBE-GGA) results for crystalline CaSm3C at its relaxed geometry.

```
5
Lattice="5.2324 0.0000 0.0000 0.0000 5.2324 0.0000 0.0000 0.0000 5.2324" Properties=species:S:1:pos:R:3 pbc="T T T"
Ca 0.0000 0.0000 0.0000
Sm 0.0000 2.6162 2.6162
Sm 2.6162 0.0000 2.6162
Sm 2.6162 2.6162 0.0000
C 2.6162 2.6162 2.6162
```

***

[3]
DFT (PBE-GGA) results for crystalline CaSm2C at its relaxed geometry.

```
4
Lattice="3.7092 0.0000 0.0000 -1.8546 3.2123 0.0000 0.0000 0.0000 9.6800" Properties=species:S:1:pos:R:3 pbc="T T T"
Ca 0.0000 0.0000 0.0000
Sm 0.0000 2.1415 6.2178
Sm 1.8546 1.0708 3.4622
C 0.0000 0.0000 4.8400
```

- relative energy among the computed polymorphs (meV/atom) = 0.0

***

[4]
DFT (PBE-GGA) results for crystalline CaSm2SnC at its relaxed geometry.

```
5
Lattice="5.0344 0.0000 0.0000 0.0000 5.0344 0.0000 0.0000 0.0000 4.9837" Properties=species:S:1:pos:R:3 pbc="T T T"
Ca 0.0000 0.0000 0.0000
Sm 0.0000 2.5172 2.4919
Sm 2.5172 0.0000 2.4919
Sn 2.5172 2.5172 0.0000
C 0.0000 0.0000 2.4919
```

***

[5]
DFT (PBE-GGA) results for crystalline Ca2SnC at its relaxed geometry.

```
16
Lattice="7.1923 0.0000 0.0000 0.0000 7.1923 0.0000 0.0000 0.0000 7.1923" Properties=species:S:1:pos:R:3 pbc="T T T"
Ca 1.7981 1.7981 1.7981
Ca 1.7981 1.7981 5.3942
Ca 1.7981 5.3942 1.7981
Ca 1.7981 5.3942 5.3942
Ca 5.3942 1.7981 1.7981
Ca 5.3942 1.7981 5.3942
Ca 5.3942 5.3942 1.7981
Ca 5.3942 5.3942 5.3942
Sn 0.0000 0.0000 0.0000
Sn 0.0000 3.5962 3.5962
Sn 3.5962 0.0000 3.5962
Sn 3.5962 3.5962 0.0000
C 0.0000 0.0000 3.5962
C 0.0000 3.5962 0.0000
C 3.5962 0.0000 0.0000
C 3.5962 3.5962 3.5962
```

***

[6]
DFT (PBE-GGA) results for crystalline CaSnC3 at its relaxed geometry.

```
5
Lattice="4.3416 0.0000 0.0000 0.0000 4.3416 0.0000 0.0000 0.0000 4.3416" Properties=species:S:1:pos:R:3 pbc="T T T"
Ca 0.0000 0.0000 0.0000
Sn 2.1708 2.1708 2.1708
C 0.0000 2.1708 2.1708
C 2.1708 0.0000 2.1708
C 2.1708 2.1708 0.0000
```

- relative energy among the computed polymorphs (meV/atom) = 0.0

***

no.,magnetic moment (μB per cell),energy of formation (eV/atom)
1,0.001,0.002
2,0.001,0.054
3,0.274,-0.104
4,0.000,-0.472
5,0.000,0.603
6,0.000,2.095